[1]
First-principles (PBE-GGA) data for a geometry-optimized YLu2Fe8Co structure, as listed in the Open Quantum Materials Database.

```
YLu2Fe8Co
1.0
2.517 1.453 8.011
-2.517 1.453 8.011
0.000 -2.906 8.011
Y Lu Fe Co
1 2 8 1
Direct
0.000 0.000 0.000 Y
0.142 0.142 0.142 Lu
0.858 0.858 0.858 Lu
0.082 0.583 0.583 Fe
0.333 0.333 0.333 Fe
0.417 0.417 0.918 Fe
0.417 0.918 0.417 Fe
0.583 0.082 0.583 Fe
0.583 0.583 0.082 Fe
0.667 0.667 0.667 Fe
0.918 0.417 0.417 Fe
0.500 0.500 0.500 Co
```

Calculated values
The space-group type is R-3m, No. 166. The value obtained for the total energy is -7.569 eV per atom. As for the energy relative to the elements: -0.145 eV/atom. The magnetization is 1.400 μB per atom.

[2]
First-principles (PBE-GGA) data for a geometry-optimized Y2LuFe8Co structure, as listed in the Open Quantum Materials Database.

```
Y2LuFe8Co
1.0
2.530 1.460 8.059
-2.530 1.460 8.059
0.000 -2.921 8.059
Y Lu Fe Co
2 1 8 1
Direct
0.142 0.142 0.142 Y
0.858 0.858 0.858 Y
0.000 0.000 0.000 Lu
0.082 0.581 0.581 Fe
0.333 0.333 0.333 Fe
0.419 0.419 0.918 Fe
0.419 0.918 0.419 Fe
0.581 0.082 0.581 Fe
0.581 0.581 0.082 Fe
0.667 0.667 0.667 Fe
0.918 0.419 0.419 Fe
0.500 0.500 0.500 Co
```

Calculated values
The space-group type is R-3m, No. 166. The value obtained for the total energy is -7.691 eV per atom. As for the energy relative to the elements: -0.105 eV/atom. The magnetization is 1.436 μB per atom.

[3]
First-principles (PBE-GGA) data for a geometry-optimized MgFeCoSb structure, as listed in the Open Quantum Materials Database.

```
MgFeCoSb
1.0
6.053 0.000 0.000
0.000 6.053 0.000
0.000 0.000 6.053
Mg Fe Co Sb
4 4 4 4
Direct
0.000 0.000 0.000 Mg
0.000 0.500 0.500 Mg
0.500 0.000 0.500 Mg
0.500 0.500 0.000 Mg
0.250 0.250 0.750 Fe
0.250 0.750 0.250 Fe
0.750 0.250 0.250 Fe
0.750 0.750 0.750 Fe
0.250 0.250 0.250 Co
0.250 0.750 0.750 Co
0.750 0.250 0.750 Co
0.750 0.750 0.250 Co
0.000 0.000 0.500 Sb
0.000 0.500 0.000 Sb
0.500 0.000 0.000 Sb
0.500 0.500 0.500 Sb
```

Calculated values
The space-group type is F-43m, No. 216. The value obtained for the total energy is -5.236 eV per atom. The magnetization is 0.048 μB per atom. The calculation puts the energy above the lowest structure with this stoichiometry at 0.00 eV/f.u.